First-principles (PBE) data for crystalline Ba3CdAg at its relaxed geometry, as listed in Alexandria via LeMat-Bulk.

Cell lengths 4.654, 10.463, 10.425 Å; angles 69.86, 90.00, 90.00 degrees
Atoms (fractional coordinates):
Ba 0.863 0.000 0.680
Ba 0.863 0.404 0.797
Cd 0.863 0.136 0.303
Ag 0.364 0.698 0.241
Cd 0.363 0.698 0.744
Ba 0.363 0.355 0.396
Ba 0.363 0.041 0.084
Ba 0.864 0.760 0.442
Ag 0.363 0.202 0.741
Ba 0.864 0.648 0.036

E_tot	-2.0477	eV per atom
offset from the most stable computed form	0.240	eV/f.u.
formation enthalpy at 0 K	-0.1408	eV/atom

---

First-principles (PBE) data for crystalline LaReBr2 at its relaxed geometry, as listed in Alexandria via LeMat-Bulk.

Cell lengths 9.893, 9.893, 9.893 Å; angles 21.08, 21.08, 21.08 degrees
Last column: magnetic moment on the atom in μB.
Atoms (fractional coordinates):
Re 0.259 0.259 0.259  0.40
Br 0.761 0.761 0.761  0.00
Br 0.975 0.975 0.975  0.00
La 0.504 0.504 0.504  -0.01

ΔE_f (raw)	0.03	eV/atom
E_tot	-5.1522	eV per atom
offset from the most stable computed form	1.206	eV/f.u.

---

First-principles (PBE) data for crystalline ReOsCl2 at its relaxed geometry, as listed in Alexandria via LeMat-Bulk.

Cell lengths 4.476, 4.476, 4.476 Å; angles 60.00, 60.00, 60.00 degrees
Last column: magnetic moment on the atom in μB.
Atoms (fractional coordinates):
Cl 0.250 0.250 0.250  0.01
Cl 0.000 0.000 0.000  0.00
Re 0.750 0.750 0.750  0.17
Os 0.500 0.500 0.500  -0.08

ΔE_f (raw)	1.27	eV/atom
E_tot	-5.5743	eV per atom
offset from the most stable computed form	5.132	eV/f.u.

---

First-principles (PBE) data for crystalline TaAl3V at its relaxed geometry, as listed in Alexandria via LeMat-Bulk.

Cell lengths 4.928, 4.928, 4.928 Å; angles 90.00, 90.00, 90.00 degrees
Last column: magnetic moment on the atom in μB.
Atoms (fractional coordinates):
Al 0.000 0.000 0.500  -0.02
V 0.500 0.500 0.500  2.79
Al 0.500 0.000 0.000  -0.02
Ta 0.000 0.000 0.000  -0.24
Al 0.000 0.500 0.000  -0.02

E_tot	-5.3213	eV per atom
offset from the most stable computed form	5.336	eV/f.u.
formation enthalpy at 0 K	1.1184	eV/atom

---

First-principles (PBE) data for crystalline I3Br2Cl at its relaxed geometry, as listed in Alexandria via LeMat-Bulk.

Cell lengths 10.306, 9.316, 12.791 Å; angles 129.88, 143.03, 61.64 degrees
Atoms (fractional coordinates):
I 0.924 0.521 0.672
I 0.942 0.028 0.693
Cl 0.244 0.757 0.976
I 0.205 0.330 0.914
Br 0.407 0.739 0.648
Cl 0.756 0.243 0.024
Br 0.681 0.734 0.474
I 0.795 0.670 0.086
Br 0.593 0.261 0.352
I 0.058 0.972 0.307
Br 0.319 0.266 0.526
I 0.076 0.479 0.328

ΔE_f (raw)	-0.03	eV/atom
E_tot	-1.6753	eV per atom

---

First-principles (PBE) data for crystalline CsAsSe2Br at its relaxed geometry, as listed in Alexandria via LeMat-Bulk.

Cell lengths 5.632, 5.632, 5.319 Å; angles 90.00, 90.00, 90.00 degrees
Last column: magnetic moment on the atom in μB.
Atoms (fractional coordinates):
Se 0.500 0.000 0.000  0.26
As 0.000 0.000 0.500  0.63
Se 0.000 0.500 0.000  0.26
Cs 0.500 0.500 0.500  0.01
Br 0.000 0.000 0.000  0.12

ΔE_f (raw)	0.34	eV/atom
E_tot	-2.4852	eV per atom
offset from the most stable computed form	3.941	eV/f.u.

---

First-principles (PBE) data for crystalline Mg2ZnIn2Ir2 at its relaxed geometry, as listed in Alexandria via LeMat-Bulk.

Cell lengths 4.405, 5.177, 8.615 Å; angles 125.47, 90.00, 115.18 degrees
Atoms (fractional coordinates):
Ir 0.327 0.653 0.823
In 0.631 0.263 0.828
Mg 0.813 0.626 0.647
Mg 0.187 0.374 0.353
Zn 0.000 0.000 0.500
In 0.369 0.737 0.172
Ir 0.673 0.347 0.177

E_tot	-4.1031	eV per atom
formation enthalpy at 0 K	-0.1514	eV/atom

---

First-principles (PBE) data for crystalline FeSnAs3 at its relaxed geometry, as listed in Alexandria via LeMat-Bulk.

Cell lengths 4.628, 4.628, 4.628 Å; angles 90.00, 90.00, 90.00 degrees
Atoms (fractional coordinates):
As 0.000 0.000 0.500
As 0.500 0.000 0.000
Fe 0.000 0.000 0.000
As 0.000 0.500 0.000
Sn 0.500 0.500 0.500

E_tot	-4.9154	eV per atom
formation enthalpy at 0 K	0.3674	eV/atom

---

First-principles (PBE) data for crystalline Pm4MgCd3 at its relaxed geometry, as listed in Alexandria via LeMat-Bulk.

Cell lengths 3.563, 5.016, 12.676 Å; angles 90.00, 90.00, 90.00 degrees
Atoms (fractional coordinates):
Cd 0.500 0.000 0.933
Mg 0.500 0.500 0.065
Pm 0.000 0.500 0.835
Cd 0.000 0.000 0.432
Cd 0.000 0.500 0.569
Pm 0.500 0.000 0.661
Pm 0.000 0.000 0.166
Pm 0.500 0.500 0.338

E_tot	-3.1339	eV per atom
offset from the most stable computed form	0.414	eV/f.u.
formation enthalpy at 0 K	-0.2161	eV/atom

---

First-principles (PBE) data for crystalline VMoSN2 at its relaxed geometry, as listed in Alexandria via LeMat-Bulk.

Cell lengths 3.739, 3.739, 4.829 Å; angles 90.00, 90.00, 90.00 degrees
Last column: magnetic moment on the atom in μB.
Atoms (fractional coordinates):
N 0.500 0.000 0.000  -0.16
N 0.000 0.500 0.000  -0.16
V 0.000 0.000 0.000  0.32
S 0.000 0.000 0.500  -0.05
Mo 0.500 0.500 0.500  2.78

ΔE_f (raw)	0.53	eV/atom
E_tot	-7.6114	eV per atom
offset from the most stable computed form	0.000	eV/f.u.

---

First-principles (PBE) data for crystalline KInSe4 at its relaxed geometry, as listed in Alexandria via LeMat-Bulk.

Cell lengths 6.011, 6.011, 6.011 Å; angles 60.00, 60.00, 60.00 degrees
Atoms (fractional coordinates):
Se 0.376 0.376 0.873
In 0.750 0.750 0.750
Se 0.376 0.873 0.376
K 0.000 0.000 0.000
Se 0.873 0.376 0.376
Se 0.376 0.376 0.376

ΔE_f (raw)	-0.14	eV/atom
E_tot	-3.0988	eV per atom

---

First-principles (PBE) data for crystalline Pr2Al3InPt4 at its relaxed geometry, as listed in Alexandria via LeMat-Bulk.

Cell lengths 4.372, 4.372, 10.584 Å; angles 90.00, 90.00, 90.00 degrees
Atoms (fractional coordinates):
Al 0.000 0.500 0.120
Pt 0.000 0.000 0.000
Pr 0.000 0.500 0.756
Pr 0.500 0.000 0.244
In 0.500 0.500 0.500
Al 0.000 0.000 0.500
Pt 0.000 0.500 0.353
Pt 0.500 0.500 0.000
Pt 0.500 0.000 0.647
Al 0.500 0.000 0.880

E_tot	-5.7807	eV per atom
formation enthalpy at 0 K	-1.0119	eV/atom